Record 1
VASP calculation (GGA-PBE) on a relaxed YNb2RuPb crystal.

Results
Space group: No. 123
Final energy: -32.02 eV/cell
Spin magnetization: 0.0 μB/f.u.
Energy of formation: 1.5133 eV/atom

Unit cell a=5.170 b=4.975 c=5.170 alpha=90.00 beta=90.00 gamma=90.00
Atoms (fractional coordinates):
Pb 0.000 0.000 0.000
Ru 0.000 0.500 0.000
Nb 0.000 0.000 0.500
Nb 0.500 0.000 0.000
Y 0.500 0.500 0.500

***

Record 2
VASP calculation (GGA-PBE) on a relaxed NbPbS2 crystal.

Results
Energy relative to the elements, uncorrected: -0.275 eV per atom
Space group: No. 122
Final energy: -46.27 eV/cell
Spin magnetization: 1.1 μB/f.u.

Unit cell a=6.378 b=6.378 c=7.105 alpha=63.33 beta=63.33 gamma=90.00
Atoms (fractional coordinates):
Pb 0.000 0.000 0.000
Pb 0.750 0.250 0.500
Nb 0.500 0.500 0.000
Nb 0.250 0.750 0.500
S 0.550 0.125 0.250
S 0.200 0.625 0.250
S 0.375 0.450 0.750
S 0.875 0.800 0.750

***

Record 3
VASP calculation (GGA-PBE) on a relaxed Nb4PbS8 crystal.

Results
Energy relative to the elements, uncorrected: -0.948 eV per atom
Polymorph energy (0 for the lowest one): 0.000 eV per atom
Space group: No. 12
Final energy: -89.33 eV/cell
Spin magnetization: 0.0 μB/f.u.

Unit cell a=6.776 b=6.776 c=8.279 alpha=101.86 beta=101.81 gamma=119.92
Atoms (fractional coordinates):
Nb 0.253 0.253 0.000
Nb 0.747 0.747 0.000
Nb 0.253 0.751 0.004
Nb 0.747 0.249 0.996
Pb 0.000 0.500 0.500
S 0.688 0.020 0.207
S 0.187 0.519 0.207
S 0.688 0.521 0.209
S 0.184 0.020 0.204
S 0.816 0.980 0.796
S 0.312 0.479 0.791
S 0.813 0.481 0.793
S 0.312 0.980 0.793

***

Record 4
VASP calculation (GGA-PBE) on a relaxed NbPbS4 crystal.

Results
Energy relative to the elements, uncorrected: -0.488 eV per atom
Polymorph energy (0 for the lowest one): 0.076 eV per atom
Space group: No. 36
Final energy: -66.43 eV/cell
Spin magnetization: 0.0 μB/f.u.

Unit cell a=4.850 b=6.262 c=10.300 alpha=90.00 beta=103.62 gamma=90.00
Atoms (fractional coordinates):
Nb 0.584 0.756 0.167
Nb 0.416 0.256 0.833
Pb 0.820 0.859 0.640
Pb 0.180 0.359 0.360
S 0.911 0.222 0.823
S 0.089 0.722 0.177
S 0.468 0.874 0.936
S 0.532 0.374 0.064
S 0.700 0.601 0.401
S 0.300 0.101 0.599
S 0.613 0.122 0.225
S 0.387 0.622 0.775

***

Record 5
VASP calculation (GGA-PBE) on a relaxed NbPbS4 crystal.

Results
Energy relative to the elements, uncorrected: -0.564 eV per atom
Polymorph energy (0 for the lowest one): 0.000 eV per atom
Space group: No. 15
Final energy: -67.34 eV/cell
Spin magnetization: 0.0 μB/f.u.

Unit cell a=6.093 b=7.137 c=7.476 alpha=61.49 beta=86.97 gamma=83.64
Atoms (fractional coordinates):
Nb 0.250 0.039 0.923
Nb 0.750 0.961 0.077
Pb 0.750 0.368 0.263
Pb 0.250 0.632 0.737
S 0.914 0.290 0.900
S 0.131 0.125 0.565
S 0.586 0.809 0.900
S 0.369 0.310 0.565
S 0.631 0.690 0.435
S 0.414 0.191 0.100
S 0.869 0.875 0.435
S 0.086 0.710 0.100

***

Record 6
VASP calculation (GGA-PBE) on a relaxed NbPbS2 crystal.

Results
Energy relative to the elements, uncorrected: 0.128 eV per atom
Space group: No. 166
Final energy: -21.52 eV/cell
Spin magnetization: 0.8 μB/f.u.

Unit cell a=8.732 b=8.732 c=8.732 alpha=24.74 beta=24.74 gamma=24.74
Atoms (fractional coordinates):
Pb 0.500 0.500 0.500
Nb 0.000 0.000 0.000
S 0.908 0.908 0.908
S 0.092 0.092 0.092